# 1
A relaxed AlCo2Si crystal. Source: Alexandria, functional PBE.

Summary:
Electronic total energy ... -23.7 eV for the cell shown
N(E_F) ... 1.47 states/eV/atom
Formation energy from raw total energies ... -78 meV per atom

Cell lengths 4.039, 4.039, 4.039 Å; angles 60.00, 60.00, 60.00 degrees
Atoms (fractional coordinates):
1 Si 0.750 0.750 0.750
2 Co 0.250 0.250 0.250
3 Co 0.000 0.000 0.000
4 Al 0.500 0.500 0.500



# 2
A relaxed LiCaTeH crystal. Source: Alexandria, functional PBE.

Summary:
Electronic total energy ... -27.7 eV for the cell shown
N(E_F) ... 0.00 states/eV/atom
ΔE to the lowest computed polymorph ... 77.8 meV per atom

Cell lengths 5.824, 4.482, 7.752 Å; angles 90.00, 115.98, 90.00 degrees
Atoms (fractional coordinates):
1 Ca 0.355 0.000 0.911
2 Ca 0.355 0.500 0.411
3 H 0.332 0.000 0.238
4 H 0.332 0.500 0.738
5 Li 0.690 0.500 0.855
6 Li 0.690 0.000 0.355
7 Te 0.760 0.000 0.712
8 Te 0.760 0.500 0.212



# 3
A relaxed EuGaHg2 crystal. Source: Alexandria, functional PBE.

Summary:
Energy of formation ... -295.4 meV per atom
Electronic total energy ... -15.1 eV for the cell shown
N(E_F) ... 1.79 states/eV/atom

Cell lengths 3.786, 3.786, 7.097 Å; angles 90.00, 90.00, 90.00 degrees
Atoms (fractional coordinates):
1 Eu 0.500 0.500 0.500
2 Hg 0.000 0.000 0.227
3 Hg 0.000 0.000 0.773
4 Ga 0.500 0.500 0.000



Q: Among the records above, which one has the highest N(E_F)?
A: EuGaHg2



Q: Which value of N(E_F) does entry 1 give?
A: 1.47 states/eV/atom



Q: Which of these has the lowest N(E_F)?
A: LiCaTeH